{
  "formula": "Li2Cd2Pb",
  "functional": "GGA-PBEsol",
  "state": "optimized geometry",
  "vol_a3_per_cell": 207.4,
  "delta_e_f_ev_per_fu": -0.89,
  "final_energy_ha_per_atom": -0.082,
  "relative_energy_mev_per_atom": 0,
  "cell": [[-1.362, -2.525, 1.253], [6.988, -1.936, 3.697], [-2.207, 4.405, 6.478]],
  "species": ["Pb", "Pb", "Li", "Li", "Li", "Li", "Cd", "Cd", "Cd", "Cd"],
  "frac_coords": [[0.000, 0.000, 0.000], [0.000, 0.500, 0.500], [0.500, 0.170, 0.670], [0.500, 0.670, 0.830], [0.500, 0.830, 0.330], [0.500, 0.330, 0.170], [0.000, 0.373, 0.873], [0.000, 0.873, 0.627], [0.000, 0.627, 0.127], [0.000, 0.127, 0.373]]
}

{
  "formula": "LiCdPb",
  "functional": "GGA-PBEsol",
  "state": "optimized geometry",
  "vol_a3_per_cell": 69.1,
  "delta_e_f_ev_per_fu": -0.31,
  "final_energy_ha_per_atom": -0.091,
  "relative_energy_mev_per_atom": 51,
  "cell": [[3.301, 0.000, 0.000], [0.000, 4.915, 0.000], [0.000, -2.458, 4.257]],
  "species": ["Cd", "Li", "Pb"],
  "frac_coords": [[0.999, 0.000, 0.000], [0.702, 0.333, 0.667], [0.299, 0.667, 0.333]]
}